Material: Hf2AlCu
Method: DFT, GGA-PBE
State: optimized geometry

POSCAR file:
```
Hf2AlCu
1.0
-5.5016 0.2852 4.9463
-4.1067 -4.3975 -4.3142
-3.7489 -4.3212 1.6204
Hf Al Cu
4 2 2
direct
0.6553 0.1250 0.2500 Hf
0.0947 0.6250 0.2500 Hf
0.3750 0.3447 0.7500 Hf
0.8750 0.9053 0.7500 Hf
0.5000 0.5000 0.0000 Al
0.2500 0.7500 0.5000 Al
0.0000 0.0000 0.0000 Cu
0.7500 0.2500 0.5000 Cu
```

Calculated values
Energy of formation in eV/atom: 0.195


Material: Ac2PrThS4
Method: DFT, GGA-PBE
State: optimized geometry

POSCAR file:
```
Ac2PrThS4
1.0
-2.8807 2.3626 1.8716
-2.3061 -5.7601 3.7215
5.2242 3.3742 3.7816
Ac Pr Th S
2 1 1 4
direct
0.5000 0.0000 0.5000 Ac
0.0000 0.5000 0.5000 Ac
0.0000 0.0000 0.0000 Pr
0.5000 0.5000 0.0000 Th
0.5000 0.2481 0.2352 S
0.5000 0.7519 0.7648 S
0.0000 0.2576 0.7663 S
0.0000 0.7424 0.2337 S
```

Calculated values
E_form (uncorrected) in eV per atom: -1.952


Material: Sm6Y3HoTm2
Method: DFT, GGA-PBE
State: optimized geometry

POSCAR file:
```
Sm6Y3HoTm2
1.0
6.2141 0.0006 0.0080
-3.1050 5.3827 0.0080
-1.0466 -1.8121 11.6032
Sm Y Ho Tm
6 3 1 2
direct
0.9169 0.5833 0.7522 Sm
0.7496 0.7496 0.2478 Sm
0.0831 0.4167 0.2478 Sm
0.5833 0.9169 0.7522 Sm
0.2504 0.2504 0.7522 Sm
0.4167 0.0831 0.2478 Sm
0.1668 0.8332 0.5000 Y
0.8332 0.1668 0.5000 Y
0.5000 0.5000 0.5000 Y
0.0000 0.0000 0.0000 Ho
0.3334 0.6666 0.0000 Tm
0.6666 0.3334 0.0000 Tm
```

Calculated values
Energy of formation in eV/atom: 0.015


Material: NdYCrN4
Method: DFT, GGA-PBE
State: optimized geometry

POSCAR file:
```
NdYCrN4
1.0
5.5848 0.0000 0.0250
0.0000 5.5079 0.0000
-2.1571 0.0000 6.4745
Nd Y Cr N
2 2 2 8
direct
0.7238 0.7500 0.9341 Nd
0.2762 0.2500 0.0659 Nd
0.7954 0.7500 0.4618 Y
0.2046 0.2500 0.5382 Y
0.2420 0.7500 0.3076 Cr
0.7580 0.2500 0.6924 Cr
0.9676 0.4949 0.7479 N
0.0323 0.9949 0.2521 N
0.0323 0.5051 0.2521 N
0.9676 0.0051 0.7479 N
0.4419 0.7500 0.1547 N
0.5581 0.2500 0.8453 N
0.4158 0.7500 0.5628 N
0.5842 0.2500 0.4372 N
```

Calculated values
E_form (uncorrected) in eV per atom: -1.091


Material: Ac2Pm3Nd2
Method: DFT, GGA-PBE
State: optimized geometry

POSCAR file:
```
Ac2Pm3Nd2
1.0
3.6983 0.0000 0.0000
0.0000 8.9904 -0.7718
-1.8491 -3.6976 8.3234
Ac Pm Nd
2 3 2
direct
0.8549 0.6727 0.7098 Ac
0.1451 0.3273 0.2902 Ac
0.0000 0.5000 0.0000 Pm
0.2111 0.8097 0.4223 Pm
0.7889 0.1903 0.5777 Pm
0.5668 0.9059 0.1336 Nd
0.4332 0.0941 0.8664 Nd
```

Calculated values
Energy of formation in eV/atom: 0.102


Material: Ag2SbTe3
Method: DFT, GGA-PBE
State: optimized geometry

POSCAR file:
```
Ag2SbTe3
1.0
-2.2719 -4.8788 2.5497
6.9996 -4.5558 -2.4769
5.9005 3.0423 11.0789
Ag Sb Te
8 4 12
direct
0.2493 0.8631 0.7566 Ag
0.2493 0.3631 0.7434 Ag
0.2501 0.8749 0.4148 Ag
0.2501 0.3749 0.0852 Ag
0.7499 0.6251 0.9148 Ag
0.7499 0.1251 0.5852 Ag
0.7507 0.6369 0.2566 Ag
0.7507 0.1369 0.2434 Ag
0.2503 0.8559 0.0789 Sb
0.2503 0.3559 0.4211 Sb
0.7497 0.6441 0.5789 Sb
0.7497 0.1441 0.9211 Sb
0.2494 0.6161 0.5978 Te
0.2494 0.1161 0.9022 Te
0.2499 0.6036 0.9277 Te
0.2499 0.1036 0.5723 Te
0.2506 0.6469 0.2610 Te
0.2506 0.1469 0.2390 Te
0.7494 0.8531 0.7610 Te
0.7494 0.3531 0.7390 Te
0.7501 0.8964 0.4277 Te
0.7501 0.3964 0.0723 Te
0.7506 0.8839 0.0978 Te
0.7506 0.3839 0.4022 Te
```

Calculated values
E_form (uncorrected) in eV per atom: -0.045


Material: Tb2SmAu2
Method: DFT, GGA-PBE
State: optimized geometry

POSCAR file:
```
Tb2SmAu2
1.0
-3.7341 0.2253 -0.7847
1.2598 -3.9541 -7.1301
-1.2321 -7.2242 3.7886
Tb Sm Au
4 2 4
direct
0.5000 0.1628 0.6628 Tb
0.5000 0.6628 0.8372 Tb
0.5000 0.8372 0.3372 Tb
0.5000 0.3372 0.1628 Tb
0.0000 0.0000 0.0000 Sm
0.0000 0.5000 0.5000 Sm
0.0000 0.3692 0.8692 Au
0.0000 0.8692 0.6308 Au
0.0000 0.6308 0.1308 Au
0.0000 0.1308 0.3692 Au
```

Calculated values
Energy of formation in eV/atom: -0.684


Material: Nd5Dy3Ho2
Method: DFT, GGA-PBE
State: optimized geometry

POSCAR file:
```
Nd5Dy3Ho2
1.0
-0.2240 9.5331 5.4630
-5.6722 1.5923 8.0427
3.6888 1.1549 9.1898
Nd Dy Ho
10 6 4
direct
0.2500 0.5000 0.5000 Nd
0.7500 0.5000 0.5000 Nd
0.4968 0.7532 0.7532 Nd
0.0032 0.2468 0.2468 Nd
0.5032 0.2468 0.2468 Nd
0.9968 0.7532 0.7532 Nd
0.1293 0.4753 0.2661 Nd
0.8707 0.5247 0.7339 Nd
0.6293 0.2661 0.4753 Nd
0.3707 0.7339 0.5247 Nd
0.2500 0.0000 0.0000 Dy
0.7500 0.0000 0.0000 Dy
0.3768 0.3748 0.8715 Dy
0.6232 0.6252 0.1285 Dy
0.8768 0.8715 0.3748 Dy
0.1232 0.1285 0.6252 Dy
0.1199 0.7942 0.9661 Ho
0.8801 0.2058 0.0339 Ho
0.6199 0.9661 0.7942 Ho
0.3801 0.0339 0.2058 Ho
```

Calculated values
Energy of formation in eV/atom: 0.372


Material: ZrCo2SiH
Method: DFT, GGA-PBE
State: optimized geometry

POSCAR file:
```
ZrCo2SiH
1.0
3.5715 0.0000 0.0000
-1.7857 4.8700 0.0000
0.0000 0.0000 6.5934
Zr Co Si H
2 4 2 2
direct
0.4363 0.8727 0.7500 Zr
0.5637 0.1273 0.2500 Zr
0.1587 0.3174 0.9448 Co
0.8413 0.6826 0.0552 Co
0.1587 0.3174 0.5552 Co
0.8413 0.6826 0.4448 Co
0.7200 0.4400 0.7500 Si
0.2800 0.5600 0.2500 Si
0.0000 0.0000 0.0000 H
0.0000 0.0000 0.5000 H
```


Material: BaCuTe2N
Method: DFT, GGA-PBE
State: optimized geometry

POSCAR file:
```
BaCuTe2N
1.0
-5.2787 -3.3041 -2.2474
2.9901 -0.7959 -5.8531
1.7335 -3.7154 1.3908
Te Ba Cu N
2 1 1 1
direct
0.0000 0.5000 0.0000 Te
0.5000 0.0000 0.0000 Te
0.0000 0.0000 0.0000 Ba
0.5000 0.5000 0.5000 Cu
0.0000 0.0000 0.5000 N
```

Calculated values
E_form (uncorrected) in eV per atom: 1.304


Material: CsPuRhCl6
Method: DFT, GGA-PBE
State: optimized geometry

POSCAR file:
```
CsPuRhCl6
1.0
-5.7073 -2.3206 2.2709
-0.2302 -4.6262 5.0583
-0.2518 6.1584 5.1941
Cs Pu Rh Cl
1 1 1 6
direct
0.9738 0.0130 0.0001 Cs
0.6518 0.6740 0.5000 Pu
0.3318 0.3341 0.5000 Rh
0.0320 0.3361 0.3218 Cl
0.3590 0.0218 0.7105 Cl
0.6298 0.3482 0.6704 Cl
0.0316 0.6323 0.6780 Cl
0.3597 0.6188 0.2893 Cl
0.6302 0.0217 0.3298 Cl
```

Calculated values
E_form (uncorrected) in eV per atom: -1.411


Material: KIn2GaIr
Method: DFT, GGA-PBE
State: optimized geometry

POSCAR file:
```
KIn2GaIr
1.0
5.2506 0.0000 0.0000
0.0000 5.2506 0.0000
0.0000 0.0000 4.9205
K Ir Ga In
1 1 1 2
direct
0.5000 0.5000 0.5000 K
0.0000 0.0000 0.0000 Ir
0.0000 0.0000 0.5000 Ga
0.0000 0.5000 0.0000 In
0.5000 0.0000 0.0000 In
```

Calculated values
Energy of formation in eV/atom: -0.183


Material: CeSe2S6
Method: DFT, GGA-PBE
State: optimized geometry

POSCAR file:
```
CeSe2S6
1.0
3.9275 -0.1928 -0.4244
-2.1116 13.9077 -7.4946
0.5102 -4.4634 6.8297
Ce Se S
1 2 6
direct
0.5000 0.5000 0.0000 Ce
0.3282 0.1556 0.8864 Se
0.6718 0.8444 0.1136 Se
0.1302 0.7579 0.5397 S
0.8698 0.2421 0.4602 S
0.6892 0.8781 0.4208 S
0.0176 0.5338 0.3064 S
0.3108 0.1219 0.5792 S
0.9824 0.4662 0.6936 S
```

Calculated values
E_form (uncorrected) in eV per atom: -0.513


Material: ScSiAu2
Method: DFT, GGA-PBE
State: optimized geometry

POSCAR file:
```
ScSiAu2
1.0
-2.3453 0.4052 -2.2980
-0.6565 -3.2453 0.0978
-4.4981 1.0538 4.7765
Au Sc Si
2 1 1
direct
0.0000 0.0000 0.9654 Au
0.5000 0.5000 0.2506 Au
0.0000 0.0000 0.4973 Sc
0.5000 0.5000 0.7867 Si
```

Calculated values
E_form (uncorrected) in eV per atom: -0.302


Material: MnZnMo2
Method: DFT, GGA-PBE
State: optimized geometry

POSCAR file:
```
MnZnMo2
1.0
-2.9412 -3.6288 1.9786
-0.9347 -2.7240 4.1761
-3.2406 1.4205 2.3741
Mn Mo Zn
1 2 1
direct
0.2500 0.2500 0.2500 Mn
0.9874 0.9874 0.0127 Mo
0.5126 0.5126 0.4873 Mo
0.7500 0.7500 0.7500 Zn
```

Calculated values
Energy of formation in eV/atom: 0.136


Material: KCu2Ag
Method: DFT, GGA-PBE
State: optimized geometry

POSCAR file:
```
KCu2Ag
1.0
-4.1146 3.4156 -2.9261
-5.7023 0.4273 2.1116
6.0174 0.9026 0.3650
Ag Cu K
1 2 1
direct
0.2070 0.7070 0.5000 Ag
0.9880 0.9880 0.0000 Cu
0.7986 0.2986 0.5000 Cu
0.5064 0.5064 0.0000 K
```

Calculated values
Energy of formation in eV/atom: 0.379


Material: Ca3Al2GeAu6
Method: DFT, GGA-PBE
State: optimized geometry

POSCAR file:
```
Ca3Al2GeAu6
1.0
-1.4578 -2.6995 5.0202
5.2312 2.6443 -0.5066
-3.6072 7.7318 3.1101
Ca Al Ge Au
3 2 1 6
direct
0.3333 0.6667 0.6015 Ca
0.6667 0.3333 0.3985 Ca
0.0000 0.0000 0.0000 Ca
0.6667 0.3333 0.9542 Al
0.3333 0.6667 0.0458 Al
0.0000 0.0000 0.5000 Ge
0.6591 0.8296 0.2740 Au
0.1704 0.3409 0.2740 Au
0.1704 0.8296 0.2740 Au
0.8296 0.6591 0.7260 Au
0.3409 0.1704 0.7260 Au
0.8296 0.1704 0.7260 Au
```

Calculated values
Energy of formation in eV/atom: -0.418


Material: Al2PbF8
Method: DFT, GGA-PBE
State: optimized geometry

POSCAR file:
```
Al2PbF8
1.0
-2.4443 -2.2414 -1.0864
4.9697 -3.8537 -2.6763
-2.2656 -0.3807 6.4369
Al Pb F
2 1 8
direct
0.0000 0.3704 0.6296 Al
0.0000 0.6296 0.3704 Al
0.5000 0.0000 0.0000 Pb
0.9542 0.9243 0.6497 F
0.9542 0.6497 0.9243 F
0.2634 0.6072 0.6072 F
0.5000 0.6918 0.3082 F
0.5000 0.3082 0.6918 F
0.7366 0.3928 0.3928 F
0.0458 0.3503 0.0757 F
0.0458 0.0757 0.3503 F
```

Calculated values
E_form (uncorrected) in eV per atom: -2.951


Material: La2Y2Tm3
Method: DFT, GGA-PBE
State: optimized geometry

POSCAR file:
```
La2Y2Tm3
1.0
-6.9703 -0.3443 -4.7971
4.8117 -6.8009 -1.5201
-2.2036 0.1286 8.1758
La Y Tm
4 4 6
direct
0.0000 0.0000 0.8181 La
0.5000 0.8181 0.5000 La
0.1819 0.6819 0.6819 La
0.3181 0.5000 0.0000 La
0.0000 0.0000 0.4178 Y
0.5000 0.4178 0.5000 Y
0.5822 0.0822 0.0822 Y
0.9178 0.5000 0.0000 Y
0.6990 0.7500 0.9490 Tm
0.8010 0.2500 0.5510 Tm
0.0510 0.3010 0.2500 Tm
0.4490 0.1990 0.7500 Tm
0.2500 0.9490 0.1990 Tm
0.7500 0.5510 0.3010 Tm
```

Calculated values
Energy of formation in eV/atom: 0.213


Material: Ca2LaReHg
Method: DFT, GGA-PBE
State: optimized geometry

POSCAR file:
```
Ca2LaReHg
1.0
6.0333 0.0000 0.0000
0.0000 4.7269 0.0000
0.0000 0.0000 6.0333
Re Ca Hg La
1 2 1 1
direct
0.0000 0.5000 0.0000 Re
0.0000 0.0000 0.5000 Ca
0.5000 0.0000 0.0000 Ca
0.5000 0.5000 0.5000 Hg
0.0000 0.0000 0.0000 La
```

Calculated values
Energy of formation in eV/atom: 1.126


Number 1: total energy -53.931 eV for the cell shown. Number 2: total energy -52.540 eV for the cell shown. Number 3: total energy -61.046 eV for the cell shown. Number 4: total energy -123.592 eV for the cell shown. Number 5: total energy -31.290 eV for the cell shown. Number 6: total energy -78.076 eV for the cell shown. Number 7: total energy -47.912 eV for the cell shown. Number 8: total energy -86.153 eV for the cell shown. Number 9: total energy -69.101 eV for the cell shown. Number 10: total energy -14.106 eV for the cell shown. Number 11: total energy -46.318 eV for the cell shown. Number 12: total energy -19.379 eV for the cell shown. Number 13: total energy -42.281 eV for the cell shown. Number 14: total energy -19.519 eV for the cell shown. Number 15: total energy -31.560 eV for the cell shown. Number 16: total energy -10.624 eV for the cell shown. Number 17: total energy -42.782 eV for the cell shown. Number 18: total energy -58.629 eV for the cell shown. Number 19: total energy -69.412 eV for the cell shown. Number 20: total energy -16.053 eV for the cell shown.